Ga4CoTc after structural relaxation. Source: Alexandria via LeMat-Bulk, functional PBE.

Structure (POSCAR):
```
Ga4CoTc
1.0
6.9352 -1.2319 0.0000
-4.0679 5.7504 0.0000
-1.4337 -2.2592 6.5158
Ga Co Tc
8 2 2
Cartesian
0.5034 3.6867 1.5503 Ga
-3.7217 3.1090 4.8082 Ga
-0.3462 2.6414 4.8082 Ga
-1.1037 1.4477 1.7076 Ga
-1.6877 0.2338 4.9655 Ga
2.3639 0.8318 1.5503 Ga
1.6877 -0.2338 4.9655 Ga
-2.9642 4.3027 1.7076 Ga
1.4337 2.2592 0.0000 Co
-2.0339 2.8752 3.2579 Co
0.0000 0.0000 0.0000 Tc
3.4676 -0.6160 3.2579 Tc
```

Results
Its space group is I4_1/amd, No. 141. For the total magnetization, the calculation gives 1.8 μB/f.u. The total energy comes out at -57.9 eV for the cell shown. The value obtained for the density of states at the Fermi level is 0.3440 states/eV/atom.

Ga2CoTc after structural relaxation. Source: Alexandria via LeMat-Bulk, functional PBE.

Structure (POSCAR):
```
Ga2CoTc
1.0
2.8156 0.0000 0.0000
1.4078 2.4384 0.0000
1.4078 0.8128 8.0529
Co Tc Ga
1 1 2
Cartesian
0.0000 0.0000 0.0000 Co
2.8156 1.6256 4.0265 Tc
1.4078 0.8128 1.8914 Ga
4.2234 2.4384 6.1615 Ga
```

Results
Its space group is R-3m, No. 166. For the total magnetization, the calculation gives 1.0 μB/f.u. The calculation puts the energy above the most stable polymorph in this dataset at 97 meV per atom. The total energy comes out at -23.7 eV for the cell shown. The value obtained for the density of states at the Fermi level is 0.9987 states/eV/atom.

Ga2CoTc after structural relaxation. Source: Alexandria via LeMat-Bulk, functional PBE.

Structure (POSCAR):
```
Ga2CoTc
1.0
-2.7861 -0.4576 -0.8633
0.6343 -2.8313 -0.5463
-1.5268 -1.4401 5.6909
Tc Co Ga
1 1 2
Cartesian
-1.8393 -2.3645 2.1407 Tc
-1.0759 -1.6445 -0.7048 Co
-1.1743 -1.1077 4.3771 Ga
-0.3525 -0.3325 1.3139 Ga
```

Results
Its space group is P4/mmm, No. 123. For the total magnetization, the calculation gives 0.2 μB/f.u. The calculation puts the energy above the most stable polymorph in this dataset at 9 meV per atom. The total energy comes out at -24.1 eV for the cell shown. The value obtained for the density of states at the Fermi level is 0.9367 states/eV/atom.

Ga2CoTc after structural relaxation. Source: Alexandria via LeMat-Bulk, functional PBE.

Structure (POSCAR):
```
Ga2CoTc
1.0
-1.4771 2.1551 -1.0632
-2.3379 0.8875 1.3051
3.0963 6.1465 4.4152
Tc Co Ga
1 1 2
Cartesian
-0.3656 4.5872 2.3223 Tc
-2.5372 2.0357 0.1674 Co
2.0711 4.9418 3.3978 Ga
-0.2463 2.2190 1.0981 Ga
```

Results
Its space group is R3m, No. 160. For the total magnetization, the calculation gives 0.9 μB/f.u. The calculation puts the energy above the most stable polymorph in this dataset at 63 meV per atom. The total energy comes out at -23.8 eV for the cell shown. The value obtained for the density of states at the Fermi level is 1.0644 states/eV/atom.

Energy of formation (eV per formula unit)
0.61, -0.18, -0.53, -0.31